1.
Entry from Alexandria: Dy2ErIn5 after structural relaxation (PBE-GGA).

The formation energy is -411 meV per atom. For the density of states at the Fermi level, the calculation gives 0.720 states/eV/atom. As for the final energy: -3.844 eV/atom. For the magnetic moment, the calculation gives 0.00 μB/f.u. For the calculated volume, the calculation gives 25.89 Å³ per atom. As for the space-group type: I4mm.

```
Dy2ErIn5
1.0
0.3273 -4.9145 -4.2336
5.7396 1.7561 2.4812
-3.2623 -1.3929 5.4406
Dy In Er
2 5 1
direct
0.5000 0.2333 0.7333
0.5000 0.7333 0.2333
0.0000 0.6917 0.2572
0.4345 0.6917 0.6917
0.0000 0.2572 0.6917
0.0000 0.7627 0.7627
0.5655 0.2572 0.2572
0.0000 0.1510 0.1510
```

***

2.
Entry from Alexandria: Dy6ErIn3 after structural relaxation (PBE-GGA).

The formation energy is -264 meV per atom. For the density of states at the Fermi level, the calculation gives 1.093 states/eV/atom. As for the final energy: -4.304 eV/atom. For the magnetic moment, the calculation gives 0.00 μB/f.u. For the calculated volume, the calculation gives 28.94 Å³ per atom. As for the space-group type: P2_1/m.

```
Dy6ErIn3
1.0
-3.9018 2.3710 2.4642
-6.3781 -3.0229 -7.1903
-0.4427 -8.5163 7.4932
Dy In Er
12 6 2
direct
0.2500 0.1076 0.8958
0.2500 0.6518 0.6835
0.7500 0.7322 0.4920
0.2500 0.8092 0.2852
0.7500 0.5597 0.9094
0.7500 0.1908 0.7148
0.2500 0.4403 0.0906
0.7500 0.8924 0.1042
0.7500 0.8798 0.7995
0.7500 0.3482 0.3165
0.2500 0.1202 0.2005
0.2500 0.2678 0.5080
0.7500 0.4644 0.6110
0.7500 0.6169 0.2026
0.7500 0.2199 0.0337
0.2500 0.7801 0.9663
0.2500 0.3831 0.7974
0.2500 0.5356 0.3890
0.2500 0.9602 0.5965
0.7500 0.0398 0.4035
```